The following is a DFT calculation (GGA-PBE) of crystalline AcScGaAg at its relaxed geometry.

Cell and atoms, written as CIF:
```
data_AcScGaAg
_cell_length_a 7.436
_cell_length_b 7.436
_cell_length_c 7.436
_cell_angle_alpha 90.00
_cell_angle_beta 90.00
_cell_angle_gamma 90.00
_space_group_name_H-M_alt 'F -4 3 m'
_space_group_IT_number 216
_space_group_name_Hall 'F -4 2 3'
loop_
_atom_site_label
_atom_site_type_symbol
_atom_site_fract_x
_atom_site_fract_y
_atom_site_fract_z
_atom_site_occupancy
Ac1 Ac 0.000 0.000 0.000 1
Sc1 Sc 0.000 0.000 0.500 1
Ga1 Ga 0.250 0.250 0.750 1
Ag1 Ag 0.250 0.250 0.250 1
```

Computed properties:
spin magnetization = 0.00 μB/f.u.
ΔE_f = -0.2873 eV/atom

=====

The following is a DFT calculation (GGA-PBE) of crystalline TaMn2Pt2 at its relaxed geometry.

Cell and atoms, written as CIF:
```
data_TaMn2Pt2
_cell_length_a 7.317
_cell_length_b 7.317
_cell_length_c 2.876
_cell_angle_alpha 90.00
_cell_angle_beta 90.00
_cell_angle_gamma 90.00
_space_group_name_H-M_alt 'P 4/m b m'
_space_group_IT_number 127
_space_group_name_Hall '-P 4 2ab'
loop_
_atom_site_label
_atom_site_type_symbol
_atom_site_fract_x
_atom_site_fract_y
_atom_site_fract_z
_atom_site_occupancy
Ta1 Ta 0.000 0.000 0.000 1
Mn1 Mn 0.147 0.353 0.000 1
Pt1 Pt 0.152 0.652 0.500 1
```

Computed properties:
spin magnetization = 6.15 μB/f.u.
ΔE_f = -0.1816 eV/atom
distance to the lowest polymorph of the same formula = 0.000 eV per atom

=====

The following is a DFT calculation (GGA-PBE) of crystalline Pr2ReI at its relaxed geometry.

Cell and atoms, written as CIF:
```
data_Pr2ReI
_cell_length_a 3.6050
_cell_length_b 3.6050
_cell_length_c 31.0892
_cell_angle_alpha 90.00
_cell_angle_beta 90.00
_cell_angle_gamma 120.00
_space_group_name_H-M_alt 'R -3 m'
_space_group_IT_number 166
_space_group_name_Hall '-R 3 2"'
loop_
_atom_site_label
_atom_site_type_symbol
_atom_site_fract_x
_atom_site_fract_y
_atom_site_fract_z
_atom_site_occupancy
Pr1 Pr 0.0000 0.0000 0.0832 1
Re1 Re 0.0000 0.0000 0.0000 1
I1 I 0.0000 0.0000 0.5000 1
```

Computed properties:
uncorrected formation energy = 2.6 eV per formula unit
spin magnetization = 0.00 μB/f.u.

=====

The following is a DFT calculation (GGA-PBE) of crystalline SmTl2Ag at its relaxed geometry.

Cell and atoms, written as CIF:
```
data_SmTl2Ag
_cell_length_a 4.823
_cell_length_b 4.823
_cell_length_c 17.476
_cell_angle_alpha 90.00
_cell_angle_beta 90.00
_cell_angle_gamma 90.00
_space_group_name_H-M_alt 'I 4/m m m'
_space_group_IT_number 139
_space_group_name_Hall '-I 4 2'
loop_
_atom_site_label
_atom_site_type_symbol
_atom_site_fract_x
_atom_site_fract_y
_atom_site_fract_z
_atom_site_occupancy
Sm1 Sm 0.000 0.000 0.132 1
Tl1 Tl 0.000 0.000 0.354 1
Tl2 Tl 0.000 0.500 0.000 1
Ag1 Ag 0.000 0.500 0.250 1
```

Computed properties:
spin magnetization = 0.00 μB/f.u.
ΔE_f = -0.2623 eV/atom